Here is ZrAlMo2 after structural relaxation from OQMD via LeMat-Bulk. Energies are from PBE.

The space group is F-43m (No. 216) and the conventional cell measures 6.4986, 6.4986 and 6.4986 Å, with angles of 90.00, 90.00 and 90.00 degrees. The distinct sites, in fractional coordinates, are Zr at (0.0000, 0.0000, 0.0000), Al at (0.2500, 0.2500, 0.7500), Mo at (0.0000, 0.0000, 0.5000) and Mo at (0.2500, 0.2500, 0.2500).

---

Here is Zr2AlMo2 after structural relaxation from OQMD via LeMat-Bulk. Energies are from PBE.

The space group is I4/mmm (No. 139) and the conventional cell measures 3.6737, 3.6737 and 15.1235 Å, with angles of 90.00, 90.00 and 90.00 degrees. The distinct sites, in fractional coordinates, are Zr at (0.0000, 0.0000, 0.0982), Al at (0.0000, 0.0000, 0.5000) and Mo at (0.0000, 0.5000, 0.2500).

---

Here is Nb4AlNiN2 after structural relaxation from OQMD via LeMat-Bulk. Energies are from PBE.

The space group is P-6m2 (No. 187) and the conventional cell measures 3.1339, 3.1339 and 13.1650 Å, with angles of 90.00, 90.00 and 120.00 degrees. The distinct sites, in fractional coordinates, are Nb at (0.0000, 0.0000, 0.1477), Nb at (0.6667, 0.3333, 0.3305), Al at (0.0000, 0.0000, 0.5000), Ni at (0.6667, 0.3333, 0.0000) and N at (0.3333, 0.6667, 0.2381).

---

Here is Sc4Nb2Al3N3 after structural relaxation from OQMD via LeMat-Bulk. Energies are from PBE.

The space group is C2/c (No. 15) and the conventional cell measures 9.5604, 5.5423 and 14.3320 Å, with angles of 90.00, 102.76 and 90.00 degrees. The distinct sites, in fractional coordinates, are Sc at (0.1129, 0.0805, 0.0891), Sc at (0.2191, 0.0851, 0.4108), Nb at (0.0571, 0.4167, 0.9210), Al at (0.0000, 0.1215, 0.7500), Al at (0.1479, 0.4354, 0.2497), N at (0.0850, 0.2449, 0.5000) and N at (0.2500, 0.2500, 0.0000).

---

Here is Nb4AlSnN2 after structural relaxation from OQMD via LeMat-Bulk. Energies are from PBE.

The space group is P-6m2 (No. 187) and the conventional cell measures 3.2019, 3.2019 and 13.6788 Å, with angles of 90.00, 90.00 and 120.00 degrees. The distinct sites, in fractional coordinates, are Nb at (0.0000, 0.0000, 0.1587), Nb at (0.6667, 0.3333, 0.3276), Al at (0.6667, 0.3333, 0.0000), Sn at (0.0000, 0.0000, 0.5000) and N at (0.3333, 0.6667, 0.2442).

---

Here is Ta2Nb4Al3N3 after structural relaxation from OQMD via LeMat-Bulk. Energies are from PBE.

The space group is C2/c (No. 15) and the conventional cell measures 9.0186, 5.2046 and 14.6787 Å, with angles of 90.00, 101.88 and 90.00 degrees. The distinct sites, in fractional coordinates, are Ta at (0.0530, 0.0844, 0.4069), Nb at (0.1153, 0.4178, 0.5957), Nb at (0.2173, 0.4155, 0.9043), Al at (0.0000, 0.4133, 0.2500), Al at (0.1645, 0.0804, 0.7498), N at (0.0817, 0.2450, 0.0000) and N at (0.2500, 0.2500, 0.5000).

---

Uncorrected energy (eV/atom)
-8.5664, -8.0847, -8.8560, -7.8490, -8.6830, -9.0441